{"formula": "AsH2PtI", "functional": "PBE", "state": "optimized geometry", "energy_ev_per_atom": -3.1928, "magmom_total_mub_per_cell": 0.000, "lattice_angstrom": [[3.701, 0.000, 0.000], [0.000, 3.701, 0.000], [0.000, 0.000, 7.348]], "species": ["As", "H", "H", "Pt", "I"], "fractional_positions": [[0.000, 0.000, 0.000], [0.000, 0.500, 0.500], [0.500, 0.000, 0.500], [0.500, 0.500, 0.000], [0.000, 0.000, 0.500]]}

***

{"formula": "KSe2BrF", "functional": "PBE", "state": "optimized geometry", "relative_energy_mev_per_atom": 849, "raw_formation_energy_ev_per_fu": 2.13, "magmom_total_mub_per_cell": 5.006, "lattice_angstrom": [[6.697, 0.000, 0.000], [0.000, 6.697, 0.000], [0.000, 0.000, 6.023]], "species": ["K", "Se", "Se", "Br", "F"], "fractional_positions": [[0.000, 0.000, 0.000], [0.000, 0.500, 0.000], [0.500, 0.000, 0.000], [0.000, 0.000, 0.500], [0.500, 0.500, 0.500]]}

***

{"formula": "Tl2Hg3Te", "functional": "PBE", "state": "optimized geometry", "raw_formation_energy_ev_per_fu": -0.60, "magmom_total_mub_per_cell": 0.000, "lattice_angstrom": [[11.225, -2.117, 0.000], [11.225, 2.117, 0.000], [-3.999, 0.000, 8.620]], "species": ["Tl", "Tl", "Tl", "Tl", "Hg", "Hg", "Hg", "Hg", "Hg", "Hg", "Te", "Te"], "fractional_positions": [[0.014, 0.014, 0.327], [0.210, 0.210, 0.664], [0.790, 0.790, 0.336], [0.986, 0.986, 0.673], [0.156, 0.156, 0.290], [0.189, 0.189, 0.989], [0.427, 0.427, 0.003], [0.573, 0.573, 0.997], [0.811, 0.811, 0.011], [0.844, 0.844, 0.710], [0.401, 0.401, 0.383], [0.599, 0.599, 0.617]]}

***

{"formula": "InH2N", "functional": "PBE", "state": "optimized geometry", "relative_energy_mev_per_atom": 577, "magmom_total_mub_per_cell": 0.013, "lattice_angstrom": [[1.424, 0.822, 5.206], [-1.424, 0.822, 5.206], [0.000, -1.645, 5.206]], "species": ["In", "H", "H", "N"], "fractional_positions": [[0.000, 0.000, 0.000], [0.170, 0.170, 0.170], [0.830, 0.830, 0.830], [0.500, 0.500, 0.500]]}

***

Calculated values (states/eV per atom) of DOS(E_F) for the records, taken in order: 0.501, 2.618, 0.168, 0.347.